DFT (GGA-PBE) results for a relaxed structure of ZrW2.

Unit cell a=2.7601 b=4.6897 c=8.2176 alpha=90.00 beta=90.00 gamma=90.00
Positions (direct):
Zr: 0.0000 0.0000 0.0000
Zr: 0.5000 0.5000 0.5000
W: 0.2056 0.0000 0.3327
W: 0.2944 0.5000 0.8327
W: 0.7056 0.5000 0.1673
W: 0.7944 0.0000 0.6673

Formation energy from the elements (eV/atom): 0.2888
E_tot (eV/f.u.): -33.59
DOS(E_F) (states/eV per cell): 4.19
Magnetic moment (μB/f.u.): 0.000